VASP calculation (GGA-PBE) on a relaxed structure of NaLa2CdAu4.

E = -3.80 eV/atom
M_tot = 0.00 μB/cell
Space-group type = R-3m (166)
Energy relative to the elements = -0.6471 eV per atom

Cell lengths 5.163, 5.163, 8.849 Å; angles 73.04, 73.04, 60.00 degrees
Atoms (fractional coordinates):
La1 0.247 0.247 0.259
Na1 0.000 0.000 0.000
Cd1 0.500 0.500 0.500
Au1 0.123 0.123 0.631
La2 0.753 0.753 0.741
Au2 0.877 0.877 0.369
Au3 0.375 0.375 0.876
Au4 0.625 0.625 0.124